1.
# PmDyS2

A relaxed PmDyS2 crystal (PBE, Alexandria via LeMat-Bulk).

Cell: 6.848 3.968 6.904 Å, 90.00 109.43 90.00°
Space group C2/m (No. 12)
One atom of each set of equivalent atoms:
Pm1 0.000 0.000 0.000
Dy1 0.000 0.500 0.500
S1 0.246 0.000 0.737

Calculated values
- raw total energy (eV per cell) = -51.36
- relative energy among the computed polymorphs (kJ per mole of atoms) = 0.0

---

2.
# Pm2Dy3S4

A relaxed Pm2Dy3S4 crystal (PBE, Alexandria via LeMat-Bulk).

Cell: 12.991 3.912 9.600 Å, 90.00 118.96 90.00°
Space group C2/m (No. 12)
One atom of each set of equivalent atoms:
Pm1 0.099 0.000 0.401
Dy1 0.000 0.500 0.000
Dy2 0.204 0.500 0.803
S1 0.104 0.000 0.905
S2 0.199 0.500 0.294

Calculated values
- raw total energy (eV per cell) = -111.59

---

3.
# PmDy5S6

A relaxed PmDy5S6 crystal (PBE, Alexandria via LeMat-Bulk).

Cell: 6.800 11.805 6.791 Å, 90.00 109.67 90.00°
Space group C2/m (No. 12)
One atom of each set of equivalent atoms:
Pm1 0.000 0.000 0.000
Dy1 0.000 0.163 0.500
Dy2 0.000 0.334 0.000
Dy3 0.000 0.500 0.500
S1 0.244 0.500 0.252
S2 0.245 0.330 0.745

Calculated values
- raw total energy (eV per cell) = -153.10

---

4.
# Pm2Dy2S5

A relaxed Pm2Dy2S5 crystal (PBE, Alexandria via LeMat-Bulk).

Cell: 17.022 7.316 7.352 Å, 90.00 90.00 90.00°
Space group Ima2 (No. 46)
One atom of each set of equivalent atoms:
Pm1 0.104 0.016 0.000
Dy1 0.000 0.000 0.441
Dy2 0.250 0.544 0.057
S1 0.057 0.712 0.208
S2 0.145 0.140 0.358
S3 0.250 0.628 0.414

Calculated values
- raw total energy (eV per cell) = -222.15

---

Q: Which formation energy without anion corrections values were calculated for the entries above? A: -2.02, -1.78, -2.00, -1.80, in eV per atom.
Q: Which total magnetic moment values were calculated for the entries above? A: 0.00, 0.00, 0.00, 0.88, in μB per cell.